Record 1
Here is MgNb2Al at its PBEsol-relaxed geometry from the Alexandria database. Energies are from SCAN.

POSCAR file:
```
MgNb2Al
1.0
-3.688 3.688 2.722
3.688 -3.688 2.722
3.688 3.688 -2.722
Mg Nb Al
2 4 2
Cartesian
0.000 0.000 0.000
0.000 3.688 1.361
1.844 -1.761 2.041
1.926 1.844 0.680
1.844 5.449 -0.680
1.761 1.844 3.402
3.688 0.000 1.361
0.000 0.000 2.722
```

Values from the calculation:
Magnetization: 0.0 μB per formula unit
Energy relative to the elements: 427 meV per atom
Mass density: 5.3 g cm⁻³



Record 2
Here is Mg2NbAl2 at its PBEsol-relaxed geometry from the Alexandria database. Energies are from SCAN.

POSCAR file:
```
Mg2NbAl2
1.0
7.672 0.000 0.000
0.000 7.672 0.000
0.000 0.000 3.014
Mg Nb Al
4 2 4
Cartesian
0.981 2.855 0.000
2.855 6.692 0.000
4.817 0.981 0.000
6.692 4.817 0.000
0.000 0.000 0.000
3.836 3.836 0.000
1.325 5.161 1.507
2.511 1.325 1.507
5.161 6.347 1.507
6.347 2.511 1.507
```

Values from the calculation:
Magnetization: 0.0 μB per formula unit
Energy relative to the elements: 202 meV per atom
Mass density: 3.7 g cm⁻³



Record 3
Here is MgAl2Ni at its PBEsol-relaxed geometry from the Alexandria database. Energies are from SCAN.

POSCAR file:
```
MgAl2Ni
1.0
3.872 0.000 0.000
0.000 3.872 0.000
0.000 0.000 3.901
Mg Al Ni
1 2 1
Cartesian
0.000 0.000 0.000
0.000 1.936 1.950
1.936 0.000 1.950
1.936 1.936 0.000
```

Values from the calculation:
Magnetization: 0.0 μB per formula unit
Energy relative to the elements: -164 meV per atom
Mass density: 3.9 g cm⁻³